This record from the Alexandria database describes a relaxed NbCr3Ag2S8 crystal. The functional is PBE.

Unit cell a=5.9934 b=6.9313 c=6.5100 alpha=90.00 beta=91.81 gamma=90.00
Space group P2/m (No. 10)
One atom of each set of equivalent atoms:
Nb 0.0000 0.0000 0.0000 x1
Cr 0.0000 0.5000 0.0000 x1
Cr 0.5000 0.2465 0.0000 x2
Ag 0.5000 0.2736 0.5000 x2
S 0.1757 0.2564 0.2138 x4
S 0.3260 0.5000 0.8013 x2
S 0.3307 0.0000 0.7798 x2

V, Å³ per atom: 19.31
VASP energy, eV per atom: -6.1377
Formation energy from raw total energies, eV/atom: -0.5905